Density functional theory data (PBE) for an optimized crystal structure of K5BeF8.

The space group is I-4 (No. 82) and the conventional cell measures 7.756, 7.756 and 9.214 Å, with angles of 90.00, 90.00 and 90.00 degrees. The asymmetric unit holds K at (0.000, 0.000, 0.000), K at (0.126, 0.285, 0.401), Be at (0.000, 0.500, 0.750), F at (0.017, 0.669, 0.656) and F at (0.110, 0.284, 0.113).

The value obtained for the formation energy (no corrections) is -2.62 eV/atom.